Record 1
MgTiCuPd | PBE | relaxed

Cell and atoms, written as POSCAR:
```
MgTiCuPd
1.0
0.000 3.140 3.140
3.140 0.000 3.140
3.140 3.140 0.000
Mg Ti Cu Pd
1 1 1 1
Direct
0.000 0.000 0.000
0.500 0.500 0.500
0.750 0.750 0.750
0.250 0.250 0.250
```

Calculated values
The value obtained for the formation energy is -0.3428 eV per atom.



Record 2
Ac3Al5Pb12 | PBE | relaxed

Cell and atoms, written as POSCAR:
```
Ac3Al5Pb12
1.0
-8.940 8.940 8.940
8.940 -8.940 8.940
8.940 8.940 -8.940
Ac Al Pb
12 20 48
Direct
0.125 0.250 0.375
0.125 0.375 0.750
0.250 0.375 0.125
0.250 0.875 0.625
0.375 0.125 0.250
0.375 0.750 0.125
0.625 0.250 0.875
0.625 0.875 0.750
0.750 0.125 0.375
0.750 0.625 0.875
0.875 0.625 0.250
0.875 0.750 0.625
0.000 0.000 0.000
0.000 0.000 0.500
0.000 0.500 0.000
0.000 0.500 0.500
0.125 0.750 0.875
0.125 0.875 0.250
0.250 0.125 0.875
0.250 0.625 0.375
0.375 0.250 0.625
0.375 0.625 0.750
0.500 0.000 0.000
0.500 0.000 0.500
0.500 0.500 0.000
0.500 0.500 0.500
0.625 0.375 0.250
0.625 0.750 0.375
0.750 0.375 0.625
0.750 0.875 0.125
0.875 0.125 0.750
0.875 0.250 0.125
0.024 0.208 0.094
0.024 0.316 0.931
0.069 0.594 0.385
0.069 0.976 0.684
0.094 0.024 0.208
0.094 0.569 0.885
0.115 0.708 0.684
0.115 0.906 0.431
0.184 0.208 0.615
0.184 0.476 0.569
0.208 0.094 0.024
0.208 0.615 0.184
0.292 0.316 0.885
0.292 0.476 0.406
0.316 0.885 0.292
0.316 0.931 0.024
0.385 0.069 0.594
0.385 0.816 0.792
0.406 0.292 0.476
0.406 0.615 0.931
0.431 0.115 0.906
0.431 0.816 0.524
0.476 0.406 0.292
0.476 0.569 0.184
0.524 0.431 0.816
0.524 0.594 0.708
0.569 0.184 0.476
0.569 0.885 0.094
0.594 0.385 0.069
0.594 0.708 0.524
0.615 0.184 0.208
0.615 0.931 0.406
0.684 0.069 0.976
0.684 0.115 0.708
0.708 0.524 0.594
0.708 0.684 0.115
0.792 0.385 0.816
0.792 0.906 0.976
0.816 0.524 0.431
0.816 0.792 0.385
0.885 0.094 0.569
0.885 0.292 0.316
0.906 0.431 0.115
0.906 0.976 0.792
0.931 0.024 0.316
0.931 0.406 0.615
0.976 0.684 0.069
0.976 0.792 0.906
```

Calculated values
The value obtained for the formation energy is 0.2163 eV per atom.



Record 3
ScFe2Mo | PBE | relaxed

Cell and atoms, written as POSCAR:
```
ScFe2Mo
1.0
2.768 0.000 0.000
0.000 4.381 0.000
-0.797 0.000 4.779
Sc Fe Mo
1 2 1
Direct
0.000 0.000 0.000
0.537 0.000 0.486
0.659 0.500 0.192
0.255 0.500 0.676
```

Calculated values
The value obtained for the formation energy is 0.1473 eV per atom.



Record 4
LaTb2Ho6Tm | PBE | relaxed

Cell and atoms, written as POSCAR:
```
LaTb2Ho6Tm
1.0
4.545 -7.512 0.000
4.545 7.512 0.000
-1.030 0.000 9.436
La Tb Ho Tm
2 4 12 2
Direct
0.027 0.973 0.750
0.973 0.027 0.250
0.200 0.306 0.549
0.306 0.200 0.049
0.694 0.800 0.951
0.800 0.694 0.451
0.016 0.562 0.683
0.126 0.749 0.058
0.251 0.874 0.442
0.292 0.510 0.883
0.438 0.984 0.817
0.490 0.708 0.617
0.510 0.292 0.383
0.562 0.016 0.183
0.708 0.490 0.117
0.749 0.126 0.558
0.874 0.251 0.942
0.984 0.438 0.317
0.410 0.590 0.250
0.590 0.410 0.750
```

Calculated values
The value obtained for the formation energy is 0.1207 eV per atom.



Record 5
Cr2SiSb | PBE | relaxed

Cell and atoms, written as POSCAR:
```
Cr2SiSb
1.0
-1.559 1.872 5.537
1.559 -1.872 5.537
1.559 1.872 -5.537
Cr Si Sb
2 1 1
Direct
0.000 0.000 0.000
0.727 0.227 0.500
0.167 0.667 0.500
0.408 0.408 0.000
```

Calculated values
The energy relative to the elements, uncorrected comes out at 181 meV per atom. The excess energy over the best structure of this formula in the dataset is 20 meV per atom.



Record 6
PuGaTc | PBE | relaxed

Cell and atoms, written as POSCAR:
```
PuGaTc
1.0
5.883 0.000 0.000
0.000 4.915 0.000
-3.471 0.000 7.976
Pu Ga Tc
4 4 4
Direct
0.175 0.110 0.386
0.175 0.390 0.886
0.825 0.610 0.114
0.825 0.890 0.614
0.409 0.626 0.265
0.409 0.874 0.765
0.591 0.126 0.235
0.591 0.374 0.735
0.216 0.592 0.486
0.216 0.908 0.986
0.784 0.092 0.014
0.784 0.408 0.514
```

Calculated values
The value obtained for the formation energy is -0.1659 eV per atom. The excess energy over the best structure of this formula in the dataset is 85 meV per atom.



Record 7
TeC5 | PBE | relaxed

Cell and atoms, written as POSCAR:
```
TeC5
1.0
0.000 3.188 3.188
3.188 0.000 3.188
3.188 3.188 0.000
Te C
1 5
Direct
0.000 0.000 0.000
0.413 0.413 0.413
0.413 0.413 0.761
0.413 0.761 0.413
0.750 0.750 0.750
0.761 0.413 0.413
```

Calculated values
The energy relative to the elements, uncorrected comes out at 3209 meV per atom. The excess energy over the best structure of this formula in the dataset is 2077 meV per atom.



Record 8
PmErSc | PBE | relaxed

Cell and atoms, written as POSCAR:
```
PmErSc
1.0
5.457 0.000 0.000
-2.728 4.725 0.000
0.000 0.000 3.421
Pm Er Sc
1 1 1
Direct
0.000 0.000 0.000
0.667 0.333 0.500
0.333 0.667 0.000
```

Calculated values
The value obtained for the formation energy is 0.0792 eV per atom. The excess energy over the best structure of this formula in the dataset is 29 meV per atom.



Record 9
Cs3SeS4 | PBE | relaxed

Cell and atoms, written as POSCAR:
```
Cs3SeS4
1.0
11.919 -2.518 0.000
11.919 2.518 0.000
-0.854 0.000 5.258
Cs Se S
3 1 4
Direct
0.000 0.000 0.000
0.178 0.178 0.162
0.822 0.822 0.838
0.500 0.500 0.500
0.328 0.328 0.341
0.406 0.406 0.221
0.594 0.594 0.779
0.672 0.672 0.659
```

Calculated values
The energy relative to the elements, uncorrected comes out at -713 meV per atom. The excess energy over the best structure of this formula in the dataset is 0 meV per atom.



Record 10
Ba5Ru3 | PBE | relaxed

Cell and atoms, written as POSCAR:
```
Ba5Ru3
1.0
4.609 -5.751 0.000
4.609 5.751 0.000
0.000 0.000 5.468
Ba Ru
5 3
Direct
0.000 0.000 0.000
0.000 0.500 0.000
0.319 0.319 0.500
0.500 0.000 0.000
0.681 0.681 0.500
0.109 0.891 0.500
0.500 0.500 0.000
0.891 0.109 0.500
```

Calculated values
The value obtained for the formation energy is 0.6795 eV per atom. The excess energy over the best structure of this formula in the dataset is 91 meV per atom.



Record 11
PmHoZn | PBE | relaxed

Cell and atoms, written as POSCAR:
```
PmHoZn
1.0
-2.499 2.499 3.525
2.499 -2.499 3.525
2.499 2.499 -3.525
Pm Ho Zn
1 1 1
Direct
0.000 0.000 0.000
0.500 0.500 0.000
0.250 0.750 0.500
```

Calculated values
The value obtained for the formation energy is 0.0281 eV per atom. The excess energy over the best structure of this formula in the dataset is 234 meV per atom.



Record 12
CrN2 | PBE | relaxed

Cell and atoms, written as POSCAR:
```
CrN2
1.0
5.272 0.000 0.000
0.311 5.576 0.000
2.145 2.480 6.797
Cr N
4 8
Direct
0.000 0.000 0.000
0.002 0.625 0.721
0.394 0.901 0.305
0.453 0.972 0.654
0.134 0.823 0.832
0.192 0.999 0.153
0.233 0.634 0.502
0.455 0.122 0.394
0.518 0.193 0.722
0.714 0.854 0.153
0.722 0.767 0.687
0.940 0.319 0.883
```

Calculated values
The energy relative to the elements, uncorrected comes out at 210 meV per atom.



no.,energy (Ha/atom)
1,-0.1851
2,-0.1308
3,-0.3078
4,-0.1651
5,-0.2579
6,-0.3457
7,-0.1838
8,-0.1887
9,-0.1298
10,-0.1470
11,-0.1288
12,-0.3141